A plane-wave DFT calculation with PBE-GGA was carried out for crystalline AcGdS at its relaxed geometry.

extended XYZ file:
```
3
Lattice="-1.5080 3.1407 2.0355 -2.4629 -2.4258 -2.0811 -0.7648 -3.9004 5.4516" Properties=species:S:1:pos:R:3 pbc="T T T"
Gd -2.1457 -0.3434 2.9397
S -2.6380 -3.0865 2.8080
Ac -0.7169 -3.6559 5.1099
```

Computed properties:
Space group   P3m1, No. 156
ΔE_f (raw)   -1.21 eV per atom
Spin magnetization   8.348 μB per formula unit
Mass density   7.27 g/cm3
Electronic total energy   -8.651 eV per atom
Volume   31.7 Å³ per atom

A plane-wave DFT calculation with PBE-GGA was carried out for crystalline Hf3Zr2Ga4 at its relaxed geometry.

extended XYZ file:
```
18
Lattice="5.9760 0.0000 0.0000 0.0000 7.9774 0.0000 -2.9880 0.0000 7.6285" Properties=species:S:1:pos:R:3 pbc="T T T"
Zr 0.0000 0.7174 5.9173
Zr 2.9880 7.2600 1.7112
Zr 0.0000 4.7061 1.7112
Ga 0.0000 3.5241 4.8925
Hf 0.0000 0.0000 0.0000
Hf 1.4940 5.9831 4.4599
Hf 2.9880 3.9887 0.0000
Ga 4.4820 1.9944 0.4755
Hf 1.4940 1.9944 3.1686
Ga 0.0000 7.5128 2.7360
Ga 1.4940 5.9831 7.1530
Zr 2.9880 3.2713 5.9173
Hf -1.4940 5.9831 4.4599
Ga -1.4940 5.9831 7.1530
Ga 2.9880 4.4533 2.7360
Hf 4.4820 1.9944 3.1686
Ga 1.4940 1.9944 0.4755
Ga 2.9880 0.4646 4.8925
```

Computed properties:
Space group   Cmce, No. 64
Formation energy   -0.27 eV/atom
Spin magnetization   0.000 μB per formula unit
Mass density   9.10 g/cm3
Electronic total energy   -6.833 eV per atom
Volume   20.2 Å³ per atom

A plane-wave DFT calculation with PBE-GGA was carried out for crystalline Ac2TbSn at its relaxed geometry.

extended XYZ file:
```
4
Lattice="-2.5482 -0.6350 -3.5822 3.5995 0.1945 -2.5951 0.8700 -7.2377 0.6642" Properties=species:S:1:pos:R:3 pbc="T T T"
Ac 0.2007 -1.6693 0.1532
Tb 0.9606 -3.8391 -2.7565
Sn 0.5256 -0.2203 -3.0886
Ac 0.6694 -5.5684 0.5110
```

Computed properties:
Space group   P4/mmm, No. 123
Formation energy   -0.27 eV/atom
Spin magnetization   0.000 μB per formula unit
Mass density   8.41 g/cm3
Electronic total energy   -4.487 eV per atom
Energy above the lowest structure with this stoichiometry   49 meV/atom
Volume   36.1 Å³ per atom

A plane-wave DFT calculation with PBE-GGA was carried out for crystalline BaCaPt4 at its relaxed geometry.

extended XYZ file:
```
6
Lattice="-5.4356 -0.8624 -0.9606 -2.8093 -3.7619 3.0280 -3.7988 1.6915 3.7310" Properties=species:S:1:pos:R:3 pbc="T T T"
Pt -4.8044 -1.4015 4.1094
Ca 0.0000 0.0000 0.0000
Pt -7.5338 -1.8345 3.6271
Ba -3.0110 -0.7332 1.4496
Pt -6.1231 0.0544 2.1067
Pt -5.6263 -2.6839 1.7537
```

Computed properties:
Space group   F-43m, No. 216
Formation energy   -0.80 eV/atom
Spin magnetization   0.000 μB per formula unit
Mass density   12.90 g/cm3
Electronic total energy   -5.481 eV per atom
Volume   20.6 Å³ per atom

A plane-wave DFT calculation with PBE-GGA was carried out for crystalline K3U2S7 at its relaxed geometry.

extended XYZ file:
```
12
Lattice="5.1719 0.0000 0.0000 0.0000 5.0995 -1.1132 0.0000 0.2130 13.2125" Properties=species:S:1:pos:R:3 pbc="T T T"
K 2.5859 3.5670 4.1033
U 0.0000 0.5564 2.5486
S 2.5859 0.5423 2.4841
S 0.0000 2.2230 10.1833
S 0.0000 0.0000 0.0000
S 0.0000 3.0895 1.9160
S 0.0000 4.2348 7.1625
U 0.0000 4.7562 9.5507
K 2.5859 2.5497 -0.5566
S 0.0000 1.0777 4.9368
S 2.5859 4.7703 9.6152
K 2.5859 1.7455 7.9960
```

Computed properties:
Space group   Cmmm, No. 65
ΔE_f (raw)   -1.28 eV per atom
Spin magnetization   1.031 μB per formula unit
Mass density   3.88 g/cm3
Electronic total energy   -5.839 eV per atom
Volume   29.1 Å³ per atom

A plane-wave DFT calculation with PBE-GGA was carried out for crystalline GeAu2Se at its relaxed geometry.

extended XYZ file:
```
8
Lattice="6.6074 0.0000 0.0000 0.0000 6.6074 0.0000 3.3037 3.3037 4.3464" Properties=species:S:1:pos:R:3 pbc="T T T"
Se 0.0000 0.0000 0.0000
Au 4.9555 5.0425 3.2598
Au 4.8685 1.6518 1.0866
Au 8.2592 8.1722 3.2598
Ge 3.3037 3.3037 0.0000
Se 6.6074 3.3037 2.1732
Ge 3.3037 6.6074 2.1732
Au 1.7389 4.9555 1.0866
```

Computed properties:
Space group   I-42d, No. 122
ΔE_f (raw)   0.12 eV per atom
Spin magnetization   0.000 μB per formula unit
Mass density   9.55 g/cm3
Electronic total energy   -3.545 eV per atom
Energy above the lowest structure with this stoichiometry   65 meV/atom
Volume   23.7 Å³ per atom